Record 1
# TmHfGaPt

Crystalline TmHfGaPt at its relaxed geometry (PBE-GGA, Alexandria via LeMat-Bulk).

Results
Total magnetization: 0.00 μB per formula unit
Space group: F-43m
Energy of formation from the pure elements: -2.8 eV/f.u.
Crystal system: cubic
N(E_F): 3.2 states/eV/cell

abc: 4.825 4.825 4.825
angles: 60.00 60.00 60.00
Fractional coordinates of all 4 atoms:
1 Tm 0.000 0.000 0.000
2 Hf 0.500 0.500 0.500
3 Ga 0.750 0.750 0.750
4 Pt 0.250 0.250 0.250

***

Record 2
# Y2HfGa3Pt4

Crystalline Y2HfGa3Pt4 at its relaxed geometry (PBE-GGA, Alexandria via LeMat-Bulk).

Results
Total magnetization: 0.00 μB per formula unit
Space group: P-4m2
Energy of formation from the pure elements: -9.8 eV/f.u.
Crystal system: tetragonal
N(E_F): 6.5 states/eV/cell

abc: 4.118 4.118 11.402
angles: 90.00 90.00 90.00
Fractional coordinates of all 10 atoms:
1 Y 0.000 0.500 0.234
2 Y 0.500 0.000 0.766
3 Hf 0.000 0.000 0.500
4 Ga 0.000 0.500 0.868
5 Ga 0.500 0.000 0.132
6 Ga 0.500 0.500 0.500
7 Pt 0.000 0.000 0.000
8 Pt 0.000 0.500 0.650
9 Pt 0.500 0.000 0.350
10 Pt 0.500 0.500 0.000

***

Record 3
# HfZnGa2Pt

Crystalline HfZnGa2Pt at its relaxed geometry (PBE-GGA, Alexandria via LeMat-Bulk).

Results
Total magnetization: 0.00 μB per formula unit
Space group: P4/mmm
Energy of formation from the pure elements: 3.3 eV/f.u.
Crystal system: tetragonal
N(E_F): 3.8 states/eV/cell

abc: 5.291 5.291 4.930
angles: 90.00 90.00 90.00
Fractional coordinates of all 5 atoms:
1 Hf 0.000 0.000 0.000
2 Zn 0.500 0.500 0.500
3 Ga 0.000 0.500 0.000
4 Ga 0.500 0.000 0.000
5 Pt 0.000 0.000 0.500

***

Record 4
# Pu2HfGa

Crystalline Pu2HfGa at its relaxed geometry (PBE-GGA, Alexandria via LeMat-Bulk).

Results
Total magnetization: 11.89 μB per formula unit
Space group: Fm-3m
Energy of formation from the pure elements: 0.5 eV/f.u.
Crystal system: cubic
N(E_F): 11.2 states/eV/cell

abc: 5.081 5.081 5.081
angles: 60.00 60.00 60.00
Fractional coordinates of all 4 atoms:
1 Pu 0.250 0.250 0.250
2 Pu 0.750 0.750 0.750
3 Hf 0.000 0.000 0.000
4 Ga 0.500 0.500 0.500

***

Record 5
# PuHfGa4

Crystalline PuHfGa4 at its relaxed geometry (PBE-GGA, Alexandria via LeMat-Bulk).

Results
Total magnetization: 5.75 μB per formula unit
Space group: P6/mmm
Energy of formation from the pure elements: -2.2 eV/f.u.
Crystal system: hexagonal
N(E_F): 9.5 states/eV/cell

abc: 4.448 4.448 6.616
angles: 90.00 90.00 120.00
Fractional coordinates of all 6 atoms:
1 Pu 0.000 0.000 0.000
2 Hf 0.000 0.000 0.500
3 Ga 0.333 0.667 0.264
4 Ga 0.333 0.667 0.736
5 Ga 0.667 0.333 0.264
6 Ga 0.667 0.333 0.736

***

Record 6
# PuHf2Ga6

Crystalline PuHf2Ga6 at its relaxed geometry (PBE-GGA, Alexandria via LeMat-Bulk).

Results
Total magnetization: 5.72 μB per formula unit
Space group: Immm
Energy of formation from the pure elements: -2.5 eV/f.u.
Crystal system: orthorhombic
N(E_F): 14.9 states/eV/cell

abc: 7.523 7.523 7.523
angles: 147.79 126.17 64.13
Fractional coordinates of all 9 atoms:
1 Pu 0.000 0.000 0.000
2 Hf 0.381 0.881 0.500
3 Hf 0.619 0.119 0.500
4 Ga 0.014 0.309 0.705
5 Ga 0.316 0.500 0.816
6 Ga 0.396 0.691 0.705
7 Ga 0.604 0.309 0.295
8 Ga 0.684 0.500 0.184
9 Ga 0.986 0.691 0.295

***

Record 7
# PuHfGa2

Crystalline PuHfGa2 at its relaxed geometry (PBE-GGA, Alexandria via LeMat-Bulk).

Results
Total magnetization: 5.64 μB per formula unit
Space group: R-3m
Energy of formation from the pure elements: -0.6 eV/f.u.
Crystal system: trigonal
N(E_F): 8.8 states/eV/cell

abc: 9.509 9.509 9.509
angles: 19.66 19.66 19.66
Fractional coordinates of all 4 atoms:
1 Pu 0.000 0.000 0.000
2 Hf 0.500 0.500 0.500
3 Ga 0.245 0.245 0.245
4 Ga 0.755 0.755 0.755

***

Record 8
# PuHfGa4

Crystalline PuHfGa4 at its relaxed geometry (PBE-GGA, Alexandria via LeMat-Bulk).

Results
Total magnetization: 6.54 μB per formula unit
Space group: F-43m
Energy of formation from the pure elements: -1.7 eV/f.u.
Crystal system: cubic
N(E_F): 13.9 states/eV/cell

abc: 5.398 5.398 5.398
angles: 60.00 60.00 60.00
Fractional coordinates of all 6 atoms:
1 Pu 0.000 0.000 0.000
2 Hf 0.250 0.250 0.250
3 Ga 0.125 0.625 0.625
4 Ga 0.625 0.125 0.625
5 Ga 0.625 0.625 0.125
6 Ga 0.625 0.625 0.625